No. 1
Below is HfReS2O after structural relaxation, with properties calculated at the PBE level.

Properties
DOS(E_F)	0.73	states/eV/atom
total energy	-34.61	eV/cell
raw formation energy	201	meV/atom
symmetry	No. 123

Unit cell a=4.6585 b=4.6585 c=3.6469 alpha=90.00 beta=90.00 gamma=90.00
Closest atoms and distances in Å follow each position.
Atoms (fractional coordinates):
1 Hf 0.0000 0.0000 0.0000  8 S 2.96, 4 Re 3.29
2 Re 0.5000 0.5000 0.0000  2 O 1.82
3 S 0.0000 0.5000 0.5000  2 O 2.33
4 S 0.5000 0.0000 0.5000  2 O 2.33
5 O 0.5000 0.5000 0.5000  2 Re 1.82

No. 2
Below is ZnGaNi after structural relaxation, with properties calculated at the PBE level.

Properties
DOS(E_F)	0.57	states/eV/atom
energy of formation from the pure elements	-16.1	kJ per mole of atoms
total energy	-10.58	eV/cell
symmetry	No. 216

Unit cell a=4.0248 b=4.0248 c=4.0248 alpha=60.00 beta=60.00 gamma=60.00
Closest atoms and distances in Å follow each position.
Atoms (fractional coordinates):
1 Zn 0.0000 0.0000 0.0000  4 Ni 2.46
2 Ga 0.5000 0.5000 0.5000  4 Ni 2.46
3 Ni 0.2500 0.2500 0.2500  4 Ga 2.46, 4 Zn 2.46

No. 3
Below is Tm3HfAl8 after structural relaxation, with properties calculated at the PBE level.

Properties
DOS(E_F)	0.57	states/eV/atom
energy of formation from the pure elements	-45.9	kJ per mole of atoms
total energy	-59.02	eV/cell
energy above the most stable polymorph in this dataset	0	kJ/mol of formula units
symmetry	No. 160

Unit cell a=9.4562 b=9.4562 c=9.4562 alpha=33.46 beta=33.46 gamma=33.46
Closest atoms and distances in Å follow each position.
Atoms (fractional coordinates):
1 Tm 0.0000 0.0000 0.0000  12 Al 3.15-3.19, 3 Hf 3.33, 1 Tm 3.36
2 Tm 0.1254 0.1254 0.1254  12 Al 3.19-3.24, 4 Tm 3.34-3.36
3 Tm 0.5013 0.5013 0.5013  12 Al 3.20-3.26, 1 Hf 3.32, 3 Tm 3.34
4 Hf 0.6256 0.6256 0.6256  12 Al 3.16-3.19, 4 Tm 3.32-3.33
5 Al 0.0602 0.5621 0.5621  6 Al 2.70-2.76
6 Al 0.0642 0.0642 0.5651  6 Al 2.69-2.76
7 Al 0.0642 0.5651 0.0642  6 Al 2.69-2.76
8 Al 0.3129 0.3129 0.3129  6 Al 2.69-2.70
9 Al 0.5621 0.0602 0.5621  6 Al 2.70-2.76
10 Al 0.5621 0.5621 0.0602  6 Al 2.70-2.76
11 Al 0.5651 0.0642 0.0642  6 Al 2.69-2.76
12 Al 0.8132 0.8132 0.8132  6 Al 2.76